[1]
TmThMgOs: optimized geometry, PBE-GGA.

Cell lengths 5.074, 5.074, 5.074 Å; angles 60.00, 60.00, 60.00 degrees
Element x y z (fractional)
Tm  0.000  0.000  0.000
Th  0.500  0.500  0.500
Mg  0.750  0.750  0.750
Os  0.250  0.250  0.250

Summary:
D(E_F) ... 3.6 states/eV/cell
Energy relative to the elements ... -0.11 eV/atom

***

[2]
Al2CuP: optimized geometry, PBE-GGA.

Cell lengths 2.862, 2.862, 7.042 Å; angles 90.00, 90.00, 90.00 degrees
Element x y z (fractional)
Al  0.000  0.000  0.238
Al  0.000  0.000  0.762
Cu  0.500  0.500  0.000
P  0.500  0.500  0.500

Summary:
D(E_F) ... 1.6 states/eV/cell
Energy relative to the elements ... 0.04 eV/atom

***

[3]
Dy2TeO6: optimized geometry, PBE-GGA.

Cell lengths 4.997, 4.997, 10.097 Å; angles 90.00, 90.00, 90.00 degrees
Element x y z (fractional)
Dy  0.000  0.000  0.165
Dy  0.000  0.000  0.835
Dy  0.500  0.500  0.335
Dy  0.500  0.500  0.665
Te  0.000  0.000  0.500
Te  0.500  0.500  0.000
O  0.183  0.183  0.354
O  0.183  0.183  0.646
O  0.222  0.222  0.000
O  0.278  0.722  0.500
O  0.317  0.683  0.146
O  0.317  0.683  0.854
O  0.683  0.317  0.146
O  0.683  0.317  0.854
O  0.722  0.278  0.500
O  0.778  0.778  0.000
O  0.817  0.817  0.354
O  0.817  0.817  0.646

Summary:
D(E_F) ... 0.0 states/eV/cell
Energy above the lowest structure with this stoichiometry ... 69 meV/atom
Raw formation energy ... -240 kJ/mol of atoms

***

[4]
CaVW2Cl: optimized geometry, PBE-GGA.

Cell lengths 4.440, 4.440, 6.567 Å; angles 90.00, 90.00, 90.00 degrees
Element x y z (fractional)
Ca  0.000  0.000  0.000
V  0.000  0.000  0.500
W  0.000  0.500  0.500
W  0.500  0.000  0.500
Cl  0.500  0.500  0.000

Summary:
D(E_F) ... 3.4 states/eV/cell
Raw formation energy ... 113 kJ/mol of atoms

***

[5]
CaBe3W: optimized geometry, PBE-GGA.

Cell lengths 4.483, 4.483, 4.483 Å; angles 90.00, 90.00, 90.00 degrees
Element x y z (fractional)
Ca  0.000  0.000  0.000
Be  0.000  0.500  0.500
Be  0.500  0.000  0.500
Be  0.500  0.500  0.000
W  0.500  0.500  0.500

Summary:
D(E_F) ... 3.3 states/eV/cell
Energy above the lowest structure with this stoichiometry ... 0 meV/atom
Energy relative to the elements ... 0.81 eV/atom

***

[6]
TaBTeRu2: optimized geometry, PBE-GGA.

Cell lengths 4.741, 4.741, 5.103 Å; angles 90.00, 90.00, 90.00 degrees
Element x y z (fractional)
Ta  0.000  0.000  0.000
B  0.500  0.500  0.000
Te  0.000  0.000  0.500
Ru  0.000  0.500  0.500
Ru  0.500  0.000  0.500

Summary:
D(E_F) ... 7.5 states/eV/cell
Raw formation energy ... 238 kJ/mol of atoms

***

[7]
YTa2Sb: optimized geometry, PBE-GGA.

Cell lengths 5.746, 5.746, 5.746 Å; angles 137.24, 137.24, 62.07 degrees
Element x y z (fractional)
Y  0.000  0.000  0.000
Ta  0.250  0.750  0.500
Ta  0.750  0.250  0.500
Sb  0.500  0.500  0.000

Summary:
D(E_F) ... 3.8 states/eV/cell
Raw formation energy ... 12 kJ/mol of atoms

***

[8]
Ac6BiIr3Rh2: optimized geometry, PBE-GGA.

Cell lengths 9.420, 9.420, 8.086 Å; angles 91.65, 91.65, 28.33 degrees
Element x y z (fractional)
Ac  0.047  0.047  0.289
Ac  0.297  0.297  0.838
Ac  0.359  0.359  0.322
Ac  0.641  0.641  0.678
Ac  0.703  0.703  0.162
Ac  0.953  0.953  0.711
Bi  0.500  0.500  0.000
Ir  0.133  0.133  0.942
Ir  0.500  0.500  0.500
Ir  0.867  0.867  0.058
Rh  0.208  0.208  0.444
Rh  0.792  0.792  0.556

Summary:
D(E_F) ... 8.1 states/eV/cell
Energy relative to the elements ... -0.57 eV/atom

***

| no. | size of the total moment (μB per cell) |
| --- | --- |
| 1 | 0.00 |
| 2 | 0.00 |
| 3 | 0.00 |
| 4 | 1.10 |
| 5 | 0.00 |
| 6 | 1.51 |
| 7 | 0.00 |
| 8 | 0.00 |